ScZn2Pt after structural relaxation, computed with PBE.

Summary:
Calculated density in Mg/m³: 9.9
Energy of formation from the pure elements in eV/f.u.: -2.67
VASP energy in eV/atom: -4.397

Cell lengths 4.4543, 4.4543, 6.2878 Å; angles 90.00, 90.00, 90.00 degrees
Last column: nearest neighbours and their distance in Å.
Space group I4/mmm (No. 139)
One atom of each set of equivalent atoms:
Sc 0.0000 0.0000 0.0000 x2  8 Zn 2.73
Zn 0.0000 0.5000 0.2500 x4  4 Sc 2.73, 4 Pt 2.73
Pt 0.0000 0.0000 0.5000 x2  8 Zn 2.73